No. 1
DFT (PBE) results for crystalline ThTcB at its relaxed geometry.

## Properties
As for the space-group type: F-43m.

a b c (Å): 4.2743 4.2743 4.2743
angles (deg): 60.00 60.00 60.00
Last column: nearest neighbours and their distance in Å.
Positions (direct):
Th 0.0000 0.0000 0.0000  4 B 2.62
Tc 0.5000 0.5000 0.5000  4 B 2.62
B 0.7500 0.7500 0.7500  4 Tc 2.62, 4 Th 2.62

No. 2
DFT (PBE) results for crystalline GdHoNb at its relaxed geometry.

## Properties
For the formation energy, the calculation gives 797 meV/atom. As for the space-group type: F-43m. The calculation puts the energy above the most stable polymorph in this dataset at 0 meV per atom.

a b c (Å): 5.0633 5.0633 5.0633
angles (deg): 60.00 60.00 60.00
Last column: nearest neighbours and their distance in Å.
Positions (direct):
Gd 0.0000 0.0000 0.0000  4 Nb 3.10
Ho 0.5000 0.5000 0.5000  4 Nb 3.10
Nb 0.7500 0.7500 0.7500  4 Ho 3.10, 4 Gd 3.10

no.,energy (eV/cell)
1,-23.77
2,-16.94